No. 1
Crystalline SrZn2Tc at its relaxed geometry. Source: Alexandria via LeMat-Bulk, functional PBE.

```
4
Lattice="5.8335 0.0005 0.0059 2.7794 5.1288 -0.0059 -3.5464 -3.8409 2.5885" Properties=species:S:1:pos:R:3 pbc="T T T"
Sr 4.2826 2.5505 0.0000
Zn 0.0474 0.0282 0.0000
Zn 3.5420 -0.4919 1.2972
Tc 1.5009 1.7662 1.2913
```

Summary:
**SG**: No. 44
**E above lowest polymorph**: 95 kJ/mol of formula units
**Formation energy**: 440.1 meV/atom



No. 2
Crystalline YCuPCl2 at its relaxed geometry. Source: Alexandria via LeMat-Bulk, functional PBE.

```
5
Lattice="-2.6421 4.0586 1.7178 -1.4490 -2.6915 4.1304 4.6282 1.8229 2.8116" Properties=species:S:1:pos:R:3 pbc="T T T"
Cu 0.2685 1.5950 4.3299
Y 0.0000 0.0000 0.0000
P 2.3141 0.9115 1.4058
Cl -0.7245 -1.3458 2.0652
Cl -1.3211 2.0293 0.8589
```

Summary:
**SG**: No. 123
**E above lowest polymorph**: 66 kJ/mol of formula units
**Energy relative to the elements, uncorrected**: -39.4 kJ per mole of atoms



No. 3
Crystalline ScOs2Ru2 at its relaxed geometry. Source: Alexandria via LeMat-Bulk, functional PBE.

```
10
Lattice="7.5285 0.0000 0.0000 0.0000 7.5285 0.0000 0.0000 0.0000 2.7863" Properties=species:S:1:pos:R:3 pbc="T T T"
Ru 1.3041 5.0683 1.3931
Ru 6.2244 2.4602 1.3931
Ru 5.0683 6.2244 1.3931
Ru 2.4602 1.3041 1.3931
Os 6.6122 4.6806 0.0000
Os 4.6806 0.9163 0.0000
Os 0.9163 2.8479 0.0000
Os 2.8479 6.6122 0.0000
Sc 3.7643 3.7643 0.0000
Sc 0.0000 0.0000 0.0000
```

Summary:
**SG**: No. 127
**E above lowest polymorph**: 0 kJ/mol of formula units
**Formation energy**: -14.8 meV/atom



No. 4
Crystalline ZrAl2In at its relaxed geometry. Source: Alexandria via LeMat-Bulk, functional PBE.

```
8
Lattice="7.6561 0.0000 0.0000 0.0000 7.6561 0.0000 3.8280 3.8280 2.9284" Properties=species:S:1:pos:R:3 pbc="T T T"
Zr 3.8280 3.8280 0.0000
Zr 3.8280 7.6561 1.4642
In 0.0000 0.0000 0.0000
In 7.6561 3.8280 1.4642
Al 5.7420 5.6256 2.1963
Al 9.5701 9.6865 2.1963
Al 1.7976 5.7420 0.7321
Al 5.8585 1.9140 0.7321
```

Summary:
**SG**: No. 122
**Formation energy**: 123.7 meV/atom



No. 5
Crystalline K2CdSe at its relaxed geometry. Source: Alexandria via LeMat-Bulk, functional PBE.

```
4
Lattice="4.5596 0.0000 0.0000 0.0000 4.9445 -0.0052 0.0000 2.4771 6.3733" Properties=species:S:1:pos:R:3 pbc="T T T"
K 2.2798 2.1643 2.1941
K 0.0000 7.1126 5.9406
Se 0.0000 4.6375 2.9657
Cd 2.2798 4.6397 4.8197
```

Summary:
**SG**: No. 38
**E above lowest polymorph**: 0 kJ/mol of formula units
**Energy relative to the elements, uncorrected**: -63.4 kJ per mole of atoms



No. 6
Crystalline ZrSiAg2 at its relaxed geometry. Source: Alexandria via LeMat-Bulk, functional PBE.

```
4
Lattice="-3.2041 -0.8025 8.9536 -4.1746 -3.4350 7.8645 -1.3585 -3.1792 8.8952" Properties=species:S:1:pos:R:3 pbc="T T T"
Zr -6.5913 -5.5952 19.3979
Si -4.3889 -3.7256 12.9163
Ag -2.1419 -1.8182 6.3036
Ag -8.7209 -7.4029 25.6652
```

Summary:
**SG**: No. 160
**Energy relative to the elements, uncorrected**: 5.3 kJ per mole of atoms



No. 7
Crystalline K2HoTmO4 at its relaxed geometry. Source: Alexandria via LeMat-Bulk, functional PBE.

```
8
Lattice="-0.4750 -2.7768 -1.9780 5.3155 -2.1104 1.6861 -4.4686 -2.2543 4.2379" Properties=species:S:1:pos:R:3 pbc="T T T"
Tm 0.0000 0.0000 0.0000
K 0.4234 -2.1823 2.9620
K -2.4718 -2.5155 1.1299
O 3.0602 -1.9564 2.0115
O 0.2308 -4.8641 3.7780
O 0.1411 -2.2773 0.1680
O -2.2133 -2.4083 3.9125
Ho 2.4202 -2.4436 -0.1459
```

Summary:
**SG**: No. 10
**Energy relative to the elements, uncorrected**: -270.3 kJ per mole of atoms



No. 8
Crystalline CaBiIr3 at its relaxed geometry. Source: Alexandria via LeMat-Bulk, functional PBE.

```
5
Lattice="5.0203 0.0000 0.0000 0.0000 5.0203 0.0000 0.0000 0.0000 5.0203" Properties=species:S:1:pos:R:3 pbc="T T T"
Ca 2.5101 2.5101 2.5101
Ir 2.5101 0.0000 0.0000
Ir 0.0000 0.0000 2.5101
Ir 0.0000 2.5101 0.0000
Bi 0.0000 0.0000 0.0000
```

Summary:
**SG**: No. 221
**E above lowest polymorph**: 0 kJ/mol of formula units
**Formation energy**: 1223.8 meV/atom



No. 9
Crystalline GaOsPb3 at its relaxed geometry. Source: Alexandria via LeMat-Bulk, functional PBE.

```
5
Lattice="-0.4067 5.3289 0.0483 -2.3589 -0.2234 4.7907 4.7786 0.3432 2.3690" Properties=species:S:1:pos:R:3 pbc="T T T"
Pb -1.1795 -0.1117 2.3954
Pb 2.3893 0.1716 1.1845
Pb -0.2033 2.6645 0.0241
Os 1.0065 2.7244 3.6040
Ga 0.0000 0.0000 0.0000
```

Summary:
**SG**: No. 221
**E above lowest polymorph**: 423 kJ/mol of formula units
**Formation energy**: 1448.3 meV/atom



No. 10
Crystalline Y2MnNiC at its relaxed geometry. Source: Alexandria via LeMat-Bulk, functional PBE.

```
5
Lattice="4.9178 0.0000 0.0000 0.0000 4.9178 0.0000 0.0000 0.0000 3.7290" Properties=species:S:1:pos:R:3 pbc="T T T"
C 0.0000 0.0000 0.0000
Y 0.0000 2.4589 0.0000
Y 2.4589 0.0000 0.0000
Mn 0.0000 0.0000 1.8645
Ni 2.4589 2.4589 1.8645
```

Summary:
**SG**: No. 123
**Formation energy**: -199.2 meV/atom



No. 11
Crystalline Ac2YScHg6 at its relaxed geometry. Source: Alexandria via LeMat-Bulk, functional PBE.

```
10
Lattice="-2.1614 1.8270 7.2302 6.1424 -3.8327 2.8047 4.9808 3.5938 4.7499" Properties=species:S:1:pos:R:3 pbc="T T T"
Sc 0.0000 0.0000 0.0000
Y 1.9905 -1.0028 5.0175
Hg -0.1376 0.4476 6.1516
Hg 3.5232 1.3531 4.8803
Hg 4.1186 -2.4533 3.8833
Hg 5.4387 0.2350 9.9045
Hg 3.0107 -1.5168 7.5891
Hg 0.9703 -0.4889 2.4459
Ac 2.4050 2.2090 8.4988
Ac 6.5569 -0.6209 6.2860
```

Summary:
**SG**: No. 225
**Formation energy**: -17.0 meV/atom



No. 12
Crystalline Ac3HPdRh at its relaxed geometry. Source: Alexandria via LeMat-Bulk, functional PBE.

```
12
Lattice="-2.4394 3.3350 0.8269 -6.6279 -3.8025 -4.2163 -1.3080 -3.1242 8.7416" Properties=species:S:1:pos:R:3 pbc="T T T"
Pd -2.0563 -0.5562 1.5455
Pd -8.3190 -3.0354 3.8067
Ac -5.5482 -3.9856 5.0758
Ac -4.8271 0.3940 0.2764
Ac -7.9881 -1.3795 -1.8960
Ac -6.4782 -3.6785 1.0935
Ac -3.8970 0.0869 4.2587
Ac -2.3872 -2.2121 7.2482
H -8.4978 -2.3272 0.4228
H -1.8775 -1.2644 4.9294
Rh -5.1292 -1.3737 6.5144
Rh -5.2461 -2.2179 -1.1622
```

Summary:
**SG**: No. 11
**E_tot**: -5.34 eV per atom